# NaDyVF6

Crystalline NaDyVF6 at its relaxed geometry (PBE with a Hubbard U, the Alexandria database).

Results
Total energy ... -0.223 hartree per atom

Lattice parameters (Å, degrees): 5.1234 5.1234 10.2914 90.00 90.00 90.00
Space group P4_2nm (No. 102)
Unique sites:
Na 0.0000 0.0000 0.0000 x2
Dy 0.0000 0.0000 0.3332 x2
V 0.0000 0.0000 0.6678 x2
F 0.1846 0.1846 0.5041 x4
F 0.1973 0.1973 0.8218 x4
F 0.2066 0.2066 0.1774 x4